(1)
This record from Alexandria describes crystalline CdCoAu at its relaxed geometry. The functional is PBE.

Cell: 4.541 4.541 2.820 Å, 90.00 90.00 120.00°
Each line ends with the local moment (μB).
Atoms (fractional coordinates):
Cd 0.667 0.333 0.334  -0.02
Au 0.000 0.000 0.834  0.03
Co 0.333 0.667 0.832  1.66

Energy above the lowest structure with this stoichiometry, meV per atom: 70
Volume, A^3/atom: 16.8
Space group: P3m1 (156)



(2)
This record from Alexandria describes crystalline PrPtAu at its relaxed geometry. The functional is PBE.

Cell: 3.829 3.829 5.342 Å, 111.00 111.00 90.00°
Atoms (fractional coordinates):
Au 0.949 0.949 0.898
Pt 0.279 0.279 0.558
Pr 0.622 0.622 0.245

Energy above the lowest structure with this stoichiometry, meV per atom: 102
Volume, A^3/atom: 22.5
Space group: I4mm (107)



(3)
This record from Alexandria describes crystalline Ca3Ir2N4 at its relaxed geometry. The functional is PBE.

Cell: 7.073 7.073 5.344 Å, 88.84 88.84 79.95°
Atoms (fractional coordinates):
Ir 0.850 0.623 0.585
Ir 0.623 0.850 0.085
N 0.268 0.412 0.066
N 0.284 0.916 0.971
Ir 0.377 0.150 0.915
Ca 0.591 0.409 0.250
Ca 0.409 0.591 0.750
N 0.916 0.284 0.471
N 0.084 0.716 0.529
N 0.716 0.084 0.029
N 0.412 0.268 0.566
N 0.588 0.732 0.434
Ca 0.040 0.721 0.054
Ca 0.721 0.040 0.554
Ca 0.279 0.960 0.446
Ir 0.150 0.377 0.415
Ca 0.960 0.279 0.946
N 0.732 0.588 0.934

Energy relative to the elements, uncorrected, eV/atom: -0.2905
Volume, A^3/atom: 14.6
Space group: C2/c (15)



(4)
This record from Alexandria describes crystalline NaCdNiHg2 at its relaxed geometry. The functional is PBE.

Cell: 5.075 5.075 5.018 Å, 90.00 90.00 90.00°
Atoms (fractional coordinates):
Ni 0.000 0.000 0.000
Na 0.500 0.500 0.500
Hg 0.000 0.500 0.000
Cd 0.000 0.000 0.500
Hg 0.500 0.000 0.000

Energy, eV for the cell shown: -8.68
Volume, A^3/atom: 25.8
Space group: P4/mmm (123)